1.
YMgCr: relaxed, GGA-PBE.

Geometry as POSCAR:
```
YMgCr
1.0
3.385 0.000 0.000
-1.692 2.931 0.000
0.000 0.000 7.344
Y Mg Cr
1 1 1
Direct
0.000 0.000 0.000
0.333 0.667 0.621
0.667 0.333 0.321
```

## Properties
- calculated total energy (eV/atom) = -5.393
- space-group type = P3m1
- magnetic moment (μB per atom) = 1.211
- V (Å³/cell) = 73


2.
Pu2MgTi: relaxed, GGA-PBE.

Geometry as POSCAR:
```
Pu2MgTi
1.0
3.035 0.000 0.000
0.000 3.035 0.000
0.000 0.000 9.707
Pu Mg Ti
2 1 1
Direct
0.000 0.000 0.231
0.000 0.000 0.769
0.500 0.500 0.500
0.500 0.500 0.000
```

## Properties
- offset from the most stable computed form (meV/atom) = 0.0
- calculated total energy (eV/atom) = -9.389
- space-group type = P4/mmm
- magnetic moment (μB per atom) = 2.604
- V (Å³/cell) = 89


3.
AgMoIr: relaxed, GGA-PBE.

Geometry as POSCAR:
```
AgMoIr
1.0
0.000 2.310 7.238
1.459 0.000 7.238
1.459 2.310 0.000
Ag Mo Ir
1 1 1
Direct
0.000 0.000 0.000
0.675 0.675 0.325
0.326 0.326 0.674
```

## Properties
- offset from the most stable computed form (meV/atom) = 178.5
- calculated total energy (eV/atom) = -7.215
- space-group type = Fmm2
- magnetic moment (μB per atom) = 0.000
- V (Å³/cell) = 49


4.
NaHo2Pu3Se6: relaxed, GGA-PBE.

Geometry as POSCAR:
```
NaHo2Pu3Se6
1.0
8.993 -2.059 0.000
8.993 2.059 0.000
-1.818 0.000 8.070
Na Ho Pu Se
1 2 3 6
Direct
0.000 0.000 0.000
0.333 0.333 0.663
0.667 0.667 0.337
0.000 0.000 0.500
0.335 0.335 0.164
0.665 0.665 0.836
0.168 0.168 0.091
0.168 0.168 0.582
0.496 0.496 0.747
0.504 0.504 0.253
0.832 0.832 0.418
0.832 0.832 0.909
```

## Properties
- raw formation energy (eV/atom) = -1.575
- calculated total energy (eV/atom) = -7.773
- space-group type = C2/m
- magnetic moment (μB per atom) = 0.496
- V (Å³/cell) = 299


5.
PrYMgOs: relaxed, GGA-PBE.

Geometry as POSCAR:
```
PrYMgOs
1.0
0.000 3.610 3.610
3.610 0.000 3.610
3.610 3.610 0.000
Pr Y Mg Os
1 1 1 1
Direct
0.000 0.000 0.000
0.500 0.500 0.500
0.750 0.750 0.750
0.250 0.250 0.250
```

## Properties
- calculated total energy (eV/atom) = -6.050
- space-group type = F-43m
- magnetic moment (μB per atom) = 0.000
- V (Å³/cell) = 94


6.
K2LiMg3Cd12: relaxed, GGA-PBE.

Geometry as POSCAR:
```
K2LiMg3Cd12
1.0
3.751 2.165 10.603
-3.751 2.165 10.603
0.000 -4.331 10.603
K Li Mg Cd
2 1 3 12
Direct
0.153 0.153 0.153
0.847 0.847 0.847
0.500 0.500 0.500
0.000 0.500 0.500
0.500 0.000 0.500
0.500 0.500 0.000
0.081 0.081 0.688
0.081 0.688 0.081
0.156 0.565 0.565
0.312 0.919 0.919
0.435 0.435 0.844
0.435 0.844 0.435
0.565 0.156 0.565
0.565 0.565 0.156
0.688 0.081 0.081
0.844 0.435 0.435
0.919 0.312 0.919
0.919 0.919 0.312
```

## Properties
- calculated total energy (eV/atom) = -1.082
- space-group type = R-3m
- magnetic moment (μB per atom) = 0.000
- V (Å³/cell) = 517


7.
Zr4Zn2O: relaxed, GGA-PBE.

Geometry as POSCAR:
```
Zr4Zn2O
1.0
5.648 -1.694 0.000
5.648 1.694 0.000
-4.622 0.000 6.541
Zr Zn O
4 2 1
Direct
0.100 0.100 0.352
0.348 0.348 0.948
0.652 0.652 0.052
0.900 0.900 0.648
0.378 0.378 0.334
0.622 0.622 0.666
0.000 0.000 0.000
```

## Properties
- raw formation energy (eV/atom) = -0.904
- calculated total energy (eV/atom) = -6.861
- space-group type = C2/m
- magnetic moment (μB per atom) = 0.000
- V (Å³/cell) = 125


8.
HoHg2F11: relaxed, GGA-PBE.

Geometry as POSCAR:
```
HoHg2F11
1.0
-4.351 5.094 5.272
4.351 -5.094 5.272
4.351 5.094 -5.272
Ho Hg F
2 4 22
Direct
0.250 0.250 0.000
0.750 0.750 0.000
0.208 0.700 0.908
0.292 0.200 0.491
0.708 0.800 0.509
0.792 0.300 0.092
0.000 0.500 0.500
0.030 0.958 0.270
0.055 0.336 0.125
0.155 0.419 0.573
0.188 0.458 0.927
0.211 0.931 0.875
0.289 0.164 0.720
0.312 0.240 0.270
0.345 0.919 0.264
0.445 0.569 0.280
0.470 0.740 0.927
0.500 0.000 0.500
0.530 0.260 0.073
0.555 0.431 0.720
0.655 0.081 0.736
0.688 0.760 0.730
0.711 0.836 0.280
0.789 0.069 0.125
0.812 0.542 0.073
0.845 0.581 0.427
0.945 0.664 0.875
0.970 0.042 0.730
```

## Properties
- raw formation energy (eV/atom) = -1.737
- calculated total energy (eV/atom) = -3.577
- space-group type = Ibam
- magnetic moment (μB per atom) = 0.142
- V (Å³/cell) = 467


9.
K3CrH: relaxed, GGA-PBE.

Geometry as POSCAR:
```
K3CrH
1.0
5.634 0.000 0.000
0.000 5.634 0.000
0.000 0.000 5.634
K Cr H
3 1 1
Direct
0.000 0.000 0.500
0.000 0.500 0.000
0.500 0.000 0.000
0.500 0.500 0.500
0.000 0.000 0.000
```

## Properties
- offset from the most stable computed form (meV/atom) = 0.0
- calculated total energy (eV/atom) = -2.799
- space-group type = Pm-3m
- magnetic moment (μB per atom) = 1.200
- V (Å³/cell) = 179


10.
ErMgZn2Ga2: relaxed, GGA-PBE.

Geometry as POSCAR:
```
ErMgZn2Ga2
1.0
4.362 0.000 0.000
-2.181 3.777 0.000
0.000 0.000 6.784
Er Mg Zn Ga
1 1 2 2
Direct
0.000 0.000 0.000
0.000 0.000 0.500
0.333 0.667 0.733
0.667 0.333 0.267
0.333 0.667 0.249
0.667 0.333 0.751
```

## Properties
- calculated total energy (eV/atom) = -2.849
- space-group type = P-3m1
- magnetic moment (μB per atom) = 0.000
- V (Å³/cell) = 112


11.
InRh2Pb: relaxed, GGA-PBE.

Geometry as POSCAR:
```
InRh2Pb
1.0
-1.652 2.206 5.131
1.652 -2.206 5.131
1.652 2.206 -5.131
In Rh Pb
1 2 1
Direct
0.000 0.000 0.000
0.229 0.729 0.500
0.491 0.491 0.000
0.730 0.230 0.500
```

## Properties
- calculated total energy (eV/atom) = -5.318
- space-group type = Imm2
- magnetic moment (μB per atom) = 0.000
- V (Å³/cell) = 75